The following is a DFT calculation (PBE-GGA) of crystalline Cs12Pd5Au3 at its relaxed geometry.

```
data_Cs12Pd5Au3
_cell_length_a 17.991
_cell_length_b 17.991
_cell_length_c 17.991
_cell_angle_alpha 109.47
_cell_angle_beta 109.47
_cell_angle_gamma 109.47
_space_group_name_H-M_alt 'P 1'
_space_group_IT_number 1
_space_group_name_Hall 'P 1'
loop_
_atom_site_label
_atom_site_type_symbol
_atom_site_fract_x
_atom_site_fract_y
_atom_site_fract_z
Cs1 Cs 0.035 0.214 0.123
Cs2 Cs 0.035 0.322 0.913
Cs3 Cs 0.087 0.623 0.409
Cs4 Cs 0.087 0.965 0.678
Cs5 Cs 0.091 0.714 0.678
Cs6 Cs 0.091 0.877 0.413
Cs7 Cs 0.123 0.035 0.214
Cs8 Cs 0.123 0.587 0.909
Cs9 Cs 0.178 0.214 0.591
Cs10 Cs 0.178 0.465 0.587
Cs11 Cs 0.214 0.123 0.035
Cs12 Cs 0.214 0.591 0.178
Cs13 Cs 0.286 0.322 0.909
Cs14 Cs 0.286 0.465 0.377
Cs15 Cs 0.322 0.909 0.286
Cs16 Cs 0.322 0.913 0.035
Cs17 Cs 0.377 0.286 0.465
Cs18 Cs 0.377 0.591 0.913
Cs19 Cs 0.409 0.087 0.623
Cs20 Cs 0.409 0.822 0.786
Cs21 Cs 0.413 0.091 0.877
Cs22 Cs 0.413 0.822 0.535
Cs23 Cs 0.465 0.377 0.286
Cs24 Cs 0.465 0.587 0.178
Cs25 Cs 0.535 0.413 0.822
Cs26 Cs 0.535 0.623 0.714
Cs27 Cs 0.587 0.178 0.465
Cs28 Cs 0.587 0.909 0.123
Cs29 Cs 0.591 0.178 0.214
Cs30 Cs 0.591 0.913 0.377
Cs31 Cs 0.623 0.409 0.087
Cs32 Cs 0.623 0.714 0.535
Cs33 Cs 0.678 0.087 0.965
Cs34 Cs 0.678 0.091 0.714
Cs35 Cs 0.714 0.535 0.623
Cs36 Cs 0.714 0.678 0.091
Cs37 Cs 0.786 0.409 0.822
Cs38 Cs 0.786 0.877 0.965
Cs39 Cs 0.822 0.535 0.413
Cs40 Cs 0.822 0.786 0.409
Cs41 Cs 0.877 0.413 0.091
Cs42 Cs 0.877 0.965 0.786
Cs43 Cs 0.909 0.123 0.587
Cs44 Cs 0.909 0.286 0.322
Cs45 Cs 0.913 0.035 0.322
Cs46 Cs 0.913 0.377 0.591
Cs47 Cs 0.965 0.678 0.087
Cs48 Cs 0.965 0.786 0.877
Pd1 Pd 0.000 0.000 0.000
Pd2 Pd 0.000 0.000 0.500
Pd3 Pd 0.000 0.500 0.000
Pd4 Pd 0.000 0.500 0.500
Pd5 Pd 0.125 0.750 0.875
Pd6 Pd 0.125 0.875 0.250
Pd7 Pd 0.250 0.125 0.875
Pd8 Pd 0.250 0.625 0.375
Pd9 Pd 0.375 0.250 0.625
Pd10 Pd 0.375 0.625 0.750
Pd11 Pd 0.500 0.000 0.000
Pd12 Pd 0.500 0.000 0.500
Pd13 Pd 0.500 0.500 0.000
Pd14 Pd 0.500 0.500 0.500
Pd15 Pd 0.625 0.375 0.250
Pd16 Pd 0.625 0.750 0.375
Pd17 Pd 0.750 0.375 0.625
Pd18 Pd 0.750 0.875 0.125
Pd19 Pd 0.875 0.125 0.750
Pd20 Pd 0.875 0.250 0.125
Au1 Au 0.125 0.250 0.375
Au2 Au 0.125 0.375 0.750
Au3 Au 0.250 0.375 0.125
Au4 Au 0.250 0.875 0.625
Au5 Au 0.375 0.125 0.250
Au6 Au 0.375 0.750 0.125
Au7 Au 0.625 0.250 0.875
Au8 Au 0.625 0.875 0.750
Au9 Au 0.750 0.125 0.375
Au10 Au 0.750 0.625 0.875
Au11 Au 0.875 0.625 0.250
Au12 Au 0.875 0.750 0.625
```

Properties
total magnetization	0.00	Bohr magnetons per cell
total energy	-2.26	eV/atom
DOS(E_F)	10.082	states/eV/f.u.